Below is an optimized crystal structure of K2NiAuF, with properties calculated at the PBE with a Hubbard U level.

Geometry as CIF:
```
data_K2NiAuF
_symmetry_space_group_name_H-M 'P 4/m m m'
_symmetry_Int_Tables_number 123
_symmetry_space_group_name_Hall '-P 4 2'
_cell_length_a 6.1079
_cell_length_b 6.1079
_cell_length_c 3.7167
_cell_angle_alpha 90.00
_cell_angle_beta 90.00
_cell_angle_gamma 90.00
loop_
_atom_site_label
_atom_site_fract_x
_atom_site_fract_y
_atom_site_fract_z
K1 0.0000 0.5000 0.0000
Ni1 0.0000 0.0000 0.0000
Au1 0.5000 0.5000 0.5000
F1 0.0000 0.0000 0.5000
```

Values from the calculation:
Offset from the most stable computed form: 0.238 eV per atom

Below is an optimized crystal structure of K2NiAuF, with properties calculated at the PBE with a Hubbard U level.

Geometry as CIF:
```
data_K2NiAuF
_symmetry_space_group_name_H-M 'P 4/m m m'
_symmetry_Int_Tables_number 123
_symmetry_space_group_name_Hall '-P 4 2'
_cell_length_a 5.3761
_cell_length_b 5.3761
_cell_length_c 4.2879
_cell_angle_alpha 90.00
_cell_angle_beta 90.00
_cell_angle_gamma 90.00
loop_
_atom_site_label
_atom_site_fract_x
_atom_site_fract_y
_atom_site_fract_z
K1 0.0000 0.5000 0.0000
Ni1 0.0000 0.0000 0.5000
Au1 0.5000 0.5000 0.5000
F1 0.0000 0.0000 0.0000
```

Values from the calculation:
Offset from the most stable computed form: 0.000 eV per atom

Below is an optimized crystal structure of KNiAu2F8, with properties calculated at the PBE with a Hubbard U level.

Geometry as CIF:
```
data_KNiAu2F8
_symmetry_space_group_name_H-M 'P -3'
_symmetry_Int_Tables_number 147
_cell_length_a 5.5701
_cell_length_b 5.5701
_cell_length_c 6.9477
_cell_angle_alpha 90.00
_cell_angle_beta 90.00
_cell_angle_gamma 120.00
loop_
_symmetry_equiv_pos_as_xyz
'x,y,z'
'-x,-y,-z'
'-y,x-y,z'
'y,-x+y,-z'
'-x+y,-x,z'
'x-y,x,-z'
loop_
_atom_site_label
_atom_site_fract_x
_atom_site_fract_y
_atom_site_fract_z
K1 0.0000 0.0000 0.0000
Ni1 0.0000 0.0000 0.5000
Au1 0.3333 0.6667 0.6361
F1 0.0760 0.7414 0.3446
F2 0.3333 0.6667 0.9202
```

Values from the calculation:
E: -3.4372 eV per atom

no.,Fermi-level density of states (states/eV per atom)
1,0.0000
2,0.2829
3,0.4521